# Pr3Nd2Ho6 | Alexandria | PBE | relaxed
data_Pr3Nd2Ho6
_cell_length_a 6.2013
_cell_length_b 10.7645
_cell_length_c 11.7167
_cell_angle_alpha 90.00
_cell_angle_beta 100.24
_cell_angle_gamma 90.00
_symmetry_space_group_name_H-M 'C 1 2/m 1'
_symmetry_Int_Tables_number 12
loop_
_symmetry_equiv_pos_as_xyz
'x,y,z'
'-x,-y,-z'
'-x,y,-z'
'x,-y,z'
'x+1/2,y+1/2,z'
'-x+1/2,-y+1/2,-z'
'-x+1/2,y+1/2,-z'
'x+1/2,-y+1/2,z'
loop_
_atom_site_label
_atom_site_type_symbol
_atom_site_fract_x
_atom_site_fract_y
_atom_site_fract_z
Pr1 Pr 0.0000 0.0000 0.0000
Pr2 Pr 0.0000 0.3358 0.0000
Nd1 Nd 0.0000 0.1665 0.5000
Ho1 Ho 0.2494 0.3335 0.7486
Ho2 Ho 0.2502 0.0000 0.7489
# M_tot, Bohr magnetons per cell: 0.001
# Offset from the most stable computed form, kJ/mol of formula units: 0.0
# Energy relative to the elements, eV per atom: 0.19
# Crystal system: monoclinic
# Density of states at the Fermi level, states/eV/cell: 31.63
# Uncorrected energy, eV per atom: -4.48

# PrNd8Ho6 | Alexandria | PBE | relaxed
data_PrNd8Ho6
_cell_length_a 9.1507
_cell_length_b 9.1507
_cell_length_c 21.0335
_cell_angle_alpha 90.00
_cell_angle_beta 90.00
_cell_angle_gamma 120.00
_symmetry_space_group_name_H-M 'R -3'
_symmetry_Int_Tables_number 148
_symmetry_space_group_name_Hall '-R 3'
loop_
_atom_site_label
_atom_site_type_symbol
_atom_site_fract_x
_atom_site_fract_y
_atom_site_fract_z
Pr1 Pr 0.0000 0.0000 0.0000
Nd1 Nd 0.0000 0.0000 0.4222
Nd2 Nd 0.0802 0.5580 0.8063
Ho1 Ho 0.0435 0.2416 0.7059
# M_tot, Bohr magnetons per cell: 0.000
# Energy relative to the elements, eV per atom: 0.13
# Crystal system: trigonal
# Density of states at the Fermi level, states/eV/cell: 67.77
# Uncorrected energy, eV per atom: -4.56

# Pr3Nd4Ho | Alexandria | PBE | relaxed
data_Pr3Nd4Ho
_cell_length_a 11.8918
_cell_length_b 6.3878
_cell_length_c 7.3840
_cell_angle_alpha 90.00
_cell_angle_beta 90.00
_cell_angle_gamma 90.00
_symmetry_space_group_name_H-M 'P m n 21'
_symmetry_Int_Tables_number 31
loop_
_symmetry_equiv_pos_as_xyz
'x,y,z'
'-x+1/2,-y,z+1/2'
'-x,y,z'
'x+1/2,-y,z+1/2'
loop_
_atom_site_label
_atom_site_type_symbol
_atom_site_fract_x
_atom_site_fract_y
_atom_site_fract_z
Pr1 Pr 0.0000 0.1666 0.9996
Pr2 Pr 0.2503 0.5003 0.0000
Nd1 Nd 0.0000 0.1663 0.5013
Nd2 Nd 0.0000 0.6670 0.2502
Nd3 Nd 0.2484 0.9987 0.7506
Ho1 Ho 0.0000 0.6658 0.7497
# M_tot, Bohr magnetons per cell: 0.000
# Offset from the most stable computed form, kJ/mol of formula units: 0.0
# Energy relative to the elements, eV per atom: 0.00
# Crystal system: orthorhombic
# Density of states at the Fermi level, states/eV/cell: 20.51
# Uncorrected energy, eV per atom: -4.75

# Pr6Nd5Ho | Alexandria | PBE | relaxed
data_Pr6Nd5Ho
_cell_length_a 6.3897
_cell_length_b 11.0683
_cell_length_c 12.2040
_cell_angle_alpha 90.00
_cell_angle_beta 100.11
_cell_angle_gamma 90.00
_symmetry_space_group_name_H-M 'C 1 2/m 1'
_symmetry_Int_Tables_number 12
loop_
_symmetry_equiv_pos_as_xyz
'x,y,z'
'-x,-y,-z'
'-x,y,-z'
'x,-y,z'
'x+1/2,y+1/2,z'
'-x+1/2,-y+1/2,-z'
'-x+1/2,y+1/2,-z'
'x+1/2,-y+1/2,z'
loop_
_atom_site_label
_atom_site_type_symbol
_atom_site_fract_x
_atom_site_fract_y
_atom_site_fract_z
Pr1 Pr 0.2482 0.1660 0.2485
Pr2 Pr 0.2501 0.0000 0.7512
Nd1 Nd 0.0000 0.1665 0.5000
Nd2 Nd 0.0000 0.3332 0.0000
Nd3 Nd 0.0000 0.5000 0.5000
Ho1 Ho 0.0000 0.0000 0.0000
# M_tot, Bohr magnetons per cell: 0.000
# Energy relative to the elements, eV per atom: 0.01
# Crystal system: monoclinic
# Density of states at the Fermi level, states/eV/cell: 37.04
# Uncorrected energy, eV per atom: -4.75

# Pr8Nd2Ho3 | Alexandria | PBE | relaxed
data_Pr8Nd2Ho3
_cell_length_a 7.7624
_cell_length_b 20.8428
_cell_length_c 5.7660
_cell_angle_alpha 90.00
_cell_angle_beta 90.00
_cell_angle_gamma 90.00
_symmetry_space_group_name_H-M 'C m m m'
_symmetry_Int_Tables_number 65
_symmetry_space_group_name_Hall '-C 2 2'
loop_
_atom_site_label
_atom_site_type_symbol
_atom_site_fract_x
_atom_site_fract_y
_atom_site_fract_z
Pr1 Pr 0.0000 0.1295 0.0000
Pr2 Pr 0.0000 0.3284 0.0000
Pr3 Pr 0.2040 0.3966 0.5000
Nd1 Nd 0.0000 0.2398 0.5000
Ho1 Ho 0.0000 0.0000 0.5000
Ho2 Ho 0.2153 0.5000 0.0000
# M_tot, Bohr magnetons per cell: 0.000
# Offset from the most stable computed form, kJ/mol of formula units: 47.3
# Energy relative to the elements, eV per atom: 0.19
# Crystal system: orthorhombic
# Density of states at the Fermi level, states/eV/cell: 37.57
# Uncorrected energy, eV per atom: -4.54

# Pr7Nd4Ho | Alexandria | PBE | relaxed
data_Pr7Nd4Ho
_cell_length_a 6.4333
_cell_length_b 7.4089
_cell_length_c 9.2244
_cell_angle_alpha 89.92
_cell_angle_beta 76.48
_cell_angle_gamma 89.90
_symmetry_space_group_name_H-M 'P -1'
_symmetry_Int_Tables_number 2
loop_
_symmetry_equiv_pos_as_xyz
'x,y,z'
'-x,-y,-z'
loop_
_atom_site_label
_atom_site_type_symbol
_atom_site_fract_x
_atom_site_fract_y
_atom_site_fract_z
Pr1 Pr 0.0000 0.0000 0.0000
Pr2 Pr 0.2187 0.5005 0.3318
Pr3 Pr 0.2801 0.2507 0.6701
Pr4 Pr 0.5002 0.2511 0.0006
Nd1 Nd 0.2212 0.0005 0.3326
Nd2 Nd 0.2793 0.7486 0.6704
Ho1 Ho 0.0000 0.5000 0.0000
# M_tot, Bohr magnetons per cell: 0.000
# Energy relative to the elements, eV per atom: 0.02
# Crystal system: triclinic
# Density of states at the Fermi level, states/eV/cell: 17.63
# Uncorrected energy, eV per atom: -4.74

# Pr4Nd10Ho | Alexandria | PBE | relaxed
data_Pr4Nd10Ho
_cell_length_a 11.6224
_cell_length_b 11.6224
_cell_length_c 8.0299
_cell_angle_alpha 90.00
_cell_angle_beta 90.00
_cell_angle_gamma 90.00
_symmetry_space_group_name_H-M 'I 4/m m m'
_symmetry_Int_Tables_number 139
_symmetry_space_group_name_Hall '-I 4 2'
loop_
_atom_site_label
_atom_site_type_symbol
_atom_site_fract_x
_atom_site_fract_y
_atom_site_fract_z
Pr1 Pr 0.2273 0.2273 0.0000
Nd1 Nd 0.0000 0.2112 0.2898
Nd2 Nd 0.0000 0.5000 0.2500
Ho1 Ho 0.0000 0.0000 0.0000
# M_tot, Bohr magnetons per cell: 0.000
# Energy relative to the elements, eV per atom: 0.22
# Crystal system: tetragonal
# Density of states at the Fermi level, states/eV/cell: 43.50
# Uncorrected energy, eV per atom: -4.54

# Pr2Nd8Ho3 | Alexandria | PBE | relaxed
data_Pr2Nd8Ho3
_cell_length_a 20.8630
_cell_length_b 7.7343
_cell_length_c 5.7201
_cell_angle_alpha 90.00
_cell_angle_beta 90.02
_cell_angle_gamma 90.00
_symmetry_space_group_name_H-M 'C 1 2/m 1'
_symmetry_Int_Tables_number 12
loop_
_symmetry_equiv_pos_as_xyz
'x,y,z'
'-x,-y,-z'
'-x,y,-z'
'x,-y,z'
'x+1/2,y+1/2,z'
'-x+1/2,-y+1/2,-z'
'-x+1/2,y+1/2,-z'
'x+1/2,-y+1/2,z'
loop_
_atom_site_label
_atom_site_type_symbol
_atom_site_fract_x
_atom_site_fract_y
_atom_site_fract_z
Pr1 Pr 0.2399 0.0000 0.4991
Nd1 Nd 0.1032 0.2951 0.5001
Nd2 Nd 0.1290 0.0000 0.9996
Nd3 Nd 0.1690 0.5000 0.0006
Ho1 Ho 0.0000 0.0000 0.5000
Ho2 Ho 0.0000 0.2852 0.0000
# M_tot, Bohr magnetons per cell: 0.000
# Offset from the most stable computed form, kJ/mol of formula units: 49.6
# Energy relative to the elements, eV per atom: 0.20
# Crystal system: monoclinic
# Density of states at the Fermi level, states/eV/cell: 39.70
# Uncorrected energy, eV per atom: -4.53

# Pr8NdHo3 | Alexandria | PBE | relaxed
data_Pr8NdHo3
_cell_length_a 6.3372
_cell_length_b 6.3586
_cell_length_c 10.9888
_cell_angle_alpha 73.19
_cell_angle_beta 90.00
_cell_angle_gamma 80.47
_symmetry_space_group_name_H-M 'P 1'
_symmetry_Int_Tables_number 1
loop_
_symmetry_equiv_pos_as_xyz
'x,y,z'
loop_
_atom_site_label
_atom_site_type_symbol
_atom_site_fract_x
_atom_site_fract_y
_atom_site_fract_z
Pr1 Pr 0.0000 0.0000 0.0000
Pr2 Pr 0.0007 0.0016 0.6672
Pr3 Pr 0.0033 0.0041 0.3291
Pr4 Pr 0.2512 0.5013 0.5807
Pr5 Pr 0.5010 0.0055 0.4968
Pr6 Pr 0.7477 0.5026 0.7496
Pr7 Pr 0.7487 0.5054 0.0818
Pr8 Pr 0.7513 0.5074 0.4109
Nd1 Nd 0.2527 0.4982 0.9178
Ho1 Ho 0.2537 0.5035 0.2465
Ho2 Ho 0.4984 0.0046 0.1635
Ho3 Ho 0.4991 0.0013 0.8345
# M_tot, Bohr magnetons per cell: 0.000
# Energy relative to the elements, eV per atom: 0.02
# Crystal system: triclinic
# Density of states at the Fermi level, states/eV/cell: 17.41
# Uncorrected energy, eV per atom: -4.71

# Pr2Nd6Ho | Alexandria | PBE | relaxed
data_Pr2Nd6Ho
_cell_length_a 17.4345
_cell_length_b 10.0208
_cell_length_c 3.5826
_cell_angle_alpha 90.00
_cell_angle_beta 90.06
_cell_angle_gamma 90.00
_symmetry_space_group_name_H-M 'C 1 2/m 1'
_symmetry_Int_Tables_number 12
loop_
_symmetry_equiv_pos_as_xyz
'x,y,z'
'-x,-y,-z'
'-x,y,-z'
'x,-y,z'
'x+1/2,y+1/2,z'
'-x+1/2,-y+1/2,-z'
'-x+1/2,y+1/2,-z'
'x+1/2,-y+1/2,z'
loop_
_atom_site_label
_atom_site_type_symbol
_atom_site_fract_x
_atom_site_fract_y
_atom_site_fract_z
Pr1 Pr 0.1668 0.0000 0.0001
Nd1 Nd 0.0000 0.1697 0.5000
Nd2 Nd 0.1651 0.3339 0.5005
Ho1 Ho 0.0000 0.5000 0.0000
# M_tot, Bohr magnetons per cell: 0.000
# Offset from the most stable computed form, kJ/mol of formula units: 0.0
# Energy relative to the elements, eV per atom: 0.05
# Crystal system: monoclinic
# Density of states at the Fermi level, states/eV/cell: 25.27
# Uncorrected energy, eV per atom: -4.70